Record 1
# InPdNO2

Crystalline InPdNO2 at its relaxed geometry (PBE-GGA, Alexandria).

Geometry as POSCAR:
```
InPdNO2
1.0
4.157 0.000 0.000
0.000 4.157 0.000
0.000 0.000 3.819
In Pd N O
1 1 1 2
direct
0.000 0.000 0.000
0.500 0.500 0.500
0.500 0.500 0.000
0.000 0.500 0.500
0.500 0.000 0.500
```

## Properties
calculated total energy: -4.90 eV/atom
density: 6.73 Mg/m³
formation energy from raw total energies: 32.7 kJ/mol of atoms



Record 2
# LaBeRe2

Crystalline LaBeRe2 at its relaxed geometry (PBE-GGA, Alexandria).

Geometry as POSCAR:
```
LaBeRe2
1.0
2.840 0.000 0.000
-1.420 2.460 0.000
0.000 0.000 28.509
La Be Re
3 3 6
direct
0.000 0.000 0.000
0.333 0.667 0.667
0.667 0.333 0.333
0.000 0.000 0.500
0.333 0.667 0.167
0.667 0.333 0.833
0.000 0.000 0.233
0.000 0.000 0.767
0.333 0.667 0.433
0.333 0.667 0.900
0.667 0.333 0.100
0.667 0.333 0.567
```

## Properties
calculated total energy: -7.67 eV/atom
density: 13.02 Mg/m³
formation energy from the elements: 278 kJ/mol of formula units



Record 3
# SrHfNi2B

Crystalline SrHfNi2B at its relaxed geometry (PBE-GGA, Alexandria).

Geometry as POSCAR:
```
SrHfNi2B
1.0
4.285 0.000 0.000
0.000 4.285 0.000
0.000 0.000 4.507
Sr Hf Ni B
1 1 2 1
direct
0.000 0.000 0.000
0.500 0.500 0.000
0.000 0.500 0.500
0.500 0.000 0.500
0.500 0.500 0.500
```

## Properties
calculated total energy: -5.68 eV/atom
density: 7.91 Mg/m³
formation energy from the elements: 144 kJ/mol of formula units



Record 4
# Rb2DyTmS4

Crystalline Rb2DyTmS4 at its relaxed geometry (PBE-GGA, Alexandria).

Geometry as POSCAR:
```
Rb2DyTmS4
1.0
7.021 0.000 0.000
0.000 4.054 0.000
-2.339 0.000 7.680
Rb Dy Tm S
2 1 1 4
direct
0.000 0.000 0.000
0.500 0.500 0.000
0.000 0.500 0.500
0.500 0.000 0.500
0.233 0.000 0.691
0.273 0.500 0.310
0.727 0.500 0.690
0.767 0.000 0.309
```

## Properties
calculated total energy: -5.29 eV/atom
density: 4.79 Mg/m³
formation energy from raw total energies: -178.8 kJ/mol of atoms



Record 5
# Sn2HO

Crystalline Sn2HO at its relaxed geometry (PBE-GGA, Alexandria).

Geometry as POSCAR:
```
Sn2HO
1.0
5.316 0.000 0.000
0.000 5.316 0.000
0.000 0.000 10.501
Sn H O
8 4 4
direct
0.241 0.250 0.125
0.250 0.741 0.375
0.250 0.759 0.875
0.259 0.250 0.625
0.741 0.750 0.625
0.750 0.241 0.875
0.750 0.259 0.375
0.759 0.750 0.125
0.000 0.000 0.000
0.000 0.500 0.250
0.500 0.000 0.750
0.500 0.500 0.500
0.000 0.000 0.500
0.000 0.500 0.750
0.500 0.000 0.250
0.500 0.500 0.000
```

## Properties
calculated total energy: -4.23 eV/atom
density: 5.69 Mg/m³
offset from the most stable computed form: 0.0 meV/atom



Record 6
# RbIrRu

Crystalline RbIrRu at its relaxed geometry (PBE-GGA, Alexandria).

Geometry as POSCAR:
```
RbIrRu
1.0
4.134 0.000 0.000
2.067 3.907 0.000
1.951 1.168 11.659
Rb Ir Ru
2 2 2
direct
0.000 0.000 0.000
0.127 0.321 0.389
0.031 0.231 0.688
0.369 0.648 0.590
0.376 0.435 0.800
0.706 0.872 0.698
```

## Properties
calculated total energy: -5.73 eV/atom
density: 6.68 Mg/m³
offset from the most stable computed form: 141.6 meV/atom
formation energy from the elements: 186 kJ/mol of formula units



Record 7
# MgBeW2

Crystalline MgBeW2 at its relaxed geometry (PBE-GGA, Alexandria).

Geometry as POSCAR:
```
MgBeW2
1.0
3.209 0.000 0.000
0.000 3.209 0.000
0.000 0.000 6.161
Mg Be W
1 1 2
direct
0.000 0.000 0.000
0.500 0.500 0.732
0.000 0.000 0.523
0.500 0.500 0.311
```

## Properties
calculated total energy: -7.43 eV/atom
density: 10.49 Mg/m³
offset from the most stable computed form: 85.5 meV/atom
formation energy from the elements: 146 kJ/mol of formula units



Record 8
# CoTePb2

Crystalline CoTePb2 at its relaxed geometry (PBE-GGA, Alexandria).

Geometry as POSCAR:
```
CoTePb2
1.0
6.389 0.000 0.000
0.000 6.389 0.000
0.000 0.000 13.218
Co Te Pb
4 4 8
direct
0.000 0.000 0.000
0.000 0.500 0.250
0.500 0.000 0.750
0.500 0.500 0.500
0.000 0.000 0.500
0.000 0.500 0.750
0.500 0.000 0.250
0.500 0.500 0.000
0.172 0.250 0.125
0.250 0.672 0.375
0.250 0.828 0.875
0.328 0.250 0.625
0.672 0.750 0.625
0.750 0.172 0.875
0.750 0.328 0.375
0.828 0.750 0.125
```

## Properties
calculated total energy: -4.02 eV/atom
density: 7.40 Mg/m³
formation energy from raw total energies: 37.7 kJ/mol of atoms
offset from the most stable computed form: 309.5 meV/atom



Record 9
# RbThSe2

Crystalline RbThSe2 at its relaxed geometry (PBE-GGA, Alexandria).

Geometry as POSCAR:
```
RbThSe2
1.0
4.233 0.000 0.000
-2.116 3.666 0.000
0.000 0.000 25.131
Rb Th Se
3 3 6
direct
0.000 0.000 0.000
0.333 0.667 0.667
0.667 0.333 0.333
0.000 0.000 0.171
0.333 0.667 0.838
0.667 0.333 0.504
0.000 0.000 0.573
0.000 0.000 0.768
0.333 0.667 0.239
0.333 0.667 0.435
0.667 0.333 0.102
0.667 0.333 0.906
```

## Properties
calculated total energy: -5.34 eV/atom
density: 6.07 Mg/m³
formation energy from raw total energies: -144.5 kJ/mol of atoms



Record 10
# InRh2AuC

Crystalline InRh2AuC at its relaxed geometry (PBE-GGA, Alexandria).

Geometry as POSCAR:
```
InRh2AuC
1.0
4.055 0.000 0.000
0.000 4.055 0.000
0.000 0.000 4.670
In Rh Au C
1 2 1 1
direct
0.000 0.000 0.000
0.000 0.500 0.500
0.500 0.000 0.500
0.500 0.500 0.000
0.000 0.000 0.500
```

## Properties
calculated total energy: -5.73 eV/atom
density: 11.45 Mg/m³
formation energy from the elements: 126 kJ/mol of formula units



Record 11
# Hg3TeCl6O2

Crystalline Hg3TeCl6O2 at its relaxed geometry (PBE-GGA, Alexandria).

Geometry as POSCAR:
```
Hg3TeCl6O2
1.0
6.206 -3.635 0.000
6.206 3.635 0.000
-0.257 0.000 7.119
Hg Te Cl O
3 1 6 2
direct
0.000 0.000 0.000
0.000 0.500 0.000
0.500 0.000 0.000
0.500 0.500 0.500
0.130 0.631 0.353
0.369 0.870 0.647
0.394 0.394 0.807
0.606 0.606 0.193
0.631 0.130 0.353
0.870 0.369 0.647
0.164 0.164 0.066
0.836 0.836 0.934
```

## Properties
calculated total energy: -2.57 eV/atom
density: 5.04 Mg/m³
formation energy from raw total energies: -46.7 kJ/mol of atoms



Record 12
# PmNd3Sn2

Crystalline PmNd3Sn2 at its relaxed geometry (PBE-GGA, Alexandria).

Geometry as POSCAR:
```
PmNd3Sn2
1.0
4.651 0.000 0.000
0.000 4.651 0.000
0.000 0.000 8.837
Pm Nd Sn
1 3 2
direct
0.000 0.000 0.000
0.000 0.500 0.351
0.500 0.000 0.649
0.500 0.500 0.000
0.000 0.500 0.721
0.500 0.000 0.279
```

## Properties
calculated total energy: -5.09 eV/atom
density: 7.08 Mg/m³
offset from the most stable computed form: 0.0 meV/atom
formation energy from the elements: -334 kJ/mol of formula units



Record 13
# KLiCl3

Crystalline KLiCl3 at its relaxed geometry (PBE-GGA, Alexandria).

Geometry as POSCAR:
```
KLiCl3
1.0
4.974 0.000 0.000
0.000 4.974 0.000
0.000 0.000 4.974
K Li Cl
1 1 3
direct
0.000 0.000 0.000
0.500 0.500 0.500
0.000 0.500 0.500
0.500 0.000 0.500
0.500 0.500 0.000
```

## Properties
calculated total energy: -3.04 eV/atom
density: 2.06 Mg/m³
formation energy from raw total energies: -128.0 kJ/mol of atoms
offset from the most stable computed form: 0.0 meV/atom



Record 14
# LaSmZr

Crystalline LaSmZr at its relaxed geometry (PBE-GGA, Alexandria).

Geometry as POSCAR:
```
LaSmZr
1.0
3.470 0.000 0.000
0.000 22.226 0.000
0.000 0.000 4.699
La Sm Zr
4 4 4
direct
0.000 0.049 0.250
0.000 0.951 0.750
0.500 0.451 0.750
0.500 0.549 0.250
0.000 0.361 0.250
0.000 0.639 0.750
0.500 0.139 0.750
0.500 0.861 0.250
0.000 0.217 0.250
0.000 0.783 0.750
0.500 0.283 0.750
0.500 0.717 0.250
```

## Properties
calculated total energy: -5.93 eV/atom
density: 6.97 Mg/m³
offset from the most stable computed form: 55.2 meV/atom
formation energy from the elements: 40 kJ/mol of formula units



Record 15
# PrAl2SiIr

Crystalline PrAl2SiIr at its relaxed geometry (PBE-GGA, Alexandria).

Geometry as POSCAR:
```
PrAl2SiIr
1.0
4.003 0.000 0.000
0.000 4.110 0.000
0.000 0.000 11.159
Pr Al Si Ir
2 4 2 2
direct
0.000 0.000 0.000
0.500 0.500 0.500
0.000 0.000 0.381
0.000 0.500 0.244
0.500 0.000 0.744
0.500 0.500 0.881
0.000 0.000 0.609
0.500 0.500 0.109
0.000 0.500 0.739
0.500 0.000 0.239
```

## Properties
calculated total energy: -6.04 eV/atom
density: 7.51 Mg/m³
formation energy from raw total energies: -70.7 kJ/mol of atoms



Record 16
# TlP2SI

Crystalline TlP2SI at its relaxed geometry (PBE-GGA, Alexandria).

Geometry as POSCAR:
```
TlP2SI
1.0
5.299 0.000 0.000
0.000 5.299 0.000
0.000 0.000 5.223
Tl P S I
1 2 1 1
direct
0.000 0.000 0.000
0.000 0.500 0.500
0.500 0.000 0.500
0.500 0.500 0.000
0.500 0.500 0.500
```

## Properties
calculated total energy: -2.71 eV/atom
density: 4.81 Mg/m³
formation energy from raw total energies: 102.5 kJ/mol of atoms
offset from the most stable computed form: 0.0 meV/atom



Record 17
# Ir3Se

Crystalline Ir3Se at its relaxed geometry (PBE-GGA, Alexandria).

Geometry as POSCAR:
```
Ir3Se
1.0
2.821 0.000 0.000
0.000 3.749 0.000
0.000 0.000 5.800
Ir Se
3 1
direct
0.000 0.000 0.000
0.500 0.500 0.239
0.500 0.500 0.761
0.000 0.000 0.500
```

## Properties
calculated total energy: -7.07 eV/atom
density: 17.74 Mg/m³
formation energy from raw total energies: 43.5 kJ/mol of atoms
offset from the most stable computed form: 162.0 meV/atom



Record 18
# PrHo2Zn9

Crystalline PrHo2Zn9 at its relaxed geometry (PBE-GGA, Alexandria).

Geometry as POSCAR:
```
PrHo2Zn9
1.0
2.738 1.581 8.608
-2.738 1.581 8.608
0.000 -3.162 8.608
Pr Ho Zn
1 2 9
direct
0.000 0.000 0.000
0.141 0.141 0.141
0.859 0.859 0.859
0.077 0.587 0.587
0.335 0.335 0.335
0.413 0.413 0.923
0.413 0.923 0.413
0.500 0.500 0.500
0.587 0.077 0.587
0.587 0.587 0.077
0.665 0.665 0.665
0.923 0.413 0.413
```

## Properties
calculated total energy: -2.44 eV/atom
density: 7.87 Mg/m³
formation energy from the elements: -370 kJ/mol of formula units



Record 19
# Zn3HPt

Crystalline Zn3HPt at its relaxed geometry (PBE-GGA, Alexandria).

Geometry as POSCAR:
```
Zn3HPt
1.0
3.929 0.000 0.000
0.000 3.929 0.000
0.000 0.000 3.929
Zn H Pt
3 1 1
direct
0.000 0.000 0.500
0.000 0.500 0.000
0.500 0.000 0.000
0.000 0.000 0.000
0.500 0.500 0.500
```

## Properties
calculated total energy: -2.74 eV/atom
density: 10.74 Mg/m³
offset from the most stable computed form: 0.0 meV/atom



Record 20
# K3Ac2NpTe6

Crystalline K3Ac2NpTe6 at its relaxed geometry (PBE-GGA, Alexandria).

Geometry as POSCAR:
```
K3Ac2NpTe6
1.0
10.735 -2.380 0.000
10.735 2.380 0.000
-2.783 0.000 9.520
K Ac Np Te
3 2 1 6
direct
0.000 0.000 0.000
0.332 0.332 0.665
0.668 0.668 0.335
0.335 0.335 0.170
0.665 0.665 0.830
0.000 0.000 0.500
0.155 0.155 0.592
0.172 0.172 0.071
0.496 0.496 0.282
0.504 0.504 0.718
0.828 0.828 0.929
0.845 0.845 0.408
```

## Properties
calculated total energy: -4.89 eV/atom
density: 5.37 Mg/m³
formation energy from raw total energies: -123.8 kJ/mol of atoms



Record 21
# LaCd2Os

Crystalline LaCd2Os at its relaxed geometry (PBE-GGA, Alexandria).

Geometry as POSCAR:
```
LaCd2Os
1.0
5.814 0.000 0.000
0.000 11.141 0.000
-1.979 0.000 2.845
La Cd Os
2 4 2
direct
0.000 0.000 0.000
0.500 0.500 0.000
0.250 0.250 0.500
0.250 0.750 0.500
0.750 0.250 0.500
0.750 0.750 0.500
0.000 0.500 0.000
0.500 0.000 0.000
```

## Properties
calculated total energy: -4.14 eV/atom
density: 9.99 Mg/m³
formation energy from the elements: 136 kJ/mol of formula units



Record 22
# CoAs3I

Crystalline CoAs3I at its relaxed geometry (PBE-GGA, Alexandria).

Geometry as POSCAR:
```
CoAs3I
1.0
4.721 0.000 0.000
0.000 4.721 0.000
0.000 0.000 4.721
Co As I
1 3 1
direct
0.000 0.000 0.000
0.000 0.000 0.500
0.000 0.500 0.000
0.500 0.000 0.000
0.500 0.500 0.500
```

## Properties
calculated total energy: -4.04 eV/atom
density: 6.48 Mg/m³
formation energy from raw total energies: 46.4 kJ/mol of atoms
offset from the most stable computed form: 0.0 meV/atom



Record 23
# Nd2Zn6Cu3

Crystalline Nd2Zn6Cu3 at its relaxed geometry (PBE-GGA, Alexandria).

Geometry as POSCAR:
```
Nd2Zn6Cu3
1.0
7.433 0.000 0.000
-3.716 6.437 0.000
0.000 0.000 4.195
Nd Zn Cu
2 6 3
direct
0.333 0.667 0.000
0.667 0.333 0.000
0.000 0.199 0.000
0.000 0.727 0.500
0.199 0.000 0.000
0.273 0.273 0.500
0.727 0.000 0.500
0.801 0.801 0.000
0.000 0.389 0.500
0.389 0.000 0.500
0.611 0.611 0.500
```

## Properties
calculated total energy: -2.88 eV/atom
density: 7.21 Mg/m³
formation energy from the elements: -215 kJ/mol of formula units



Record 24
# Hf6Al2Co

Crystalline Hf6Al2Co at its relaxed geometry (PBE-GGA, Alexandria).

Geometry as POSCAR:
```
Hf6Al2Co
1.0
5.540 0.000 0.000
0.000 7.171 0.000
-5.239 0.000 9.099
Hf Al Co
12 4 2
direct
0.094 0.160 0.459
0.094 0.340 0.959
0.347 0.703 0.461
0.347 0.797 0.961
0.395 0.036 0.254
0.395 0.464 0.754
0.605 0.536 0.246
0.605 0.964 0.746
0.653 0.203 0.039
0.653 0.297 0.539
0.906 0.660 0.041
0.906 0.840 0.541
0.141 0.108 0.762
0.141 0.392 0.262
0.859 0.608 0.738
0.859 0.892 0.238
0.000 0.000 0.000
0.000 0.500 0.500
```

## Properties
calculated total energy: -8.38 eV/atom
density: 10.88 Mg/m³
formation energy from the elements: -110 kJ/mol of formula units



Record 25
# La3CdSn3

Crystalline La3CdSn3 at its relaxed geometry (PBE-GGA, Alexandria).

Geometry as POSCAR:
```
La3CdSn3
1.0
6.039 -2.399 0.000
6.039 2.399 0.000
-4.964 0.000 14.720
La Cd Sn
6 2 6
direct
0.023 0.023 0.380
0.102 0.102 0.922
0.236 0.236 0.225
0.764 0.764 0.775
0.898 0.898 0.078
0.977 0.977 0.620
0.272 0.272 0.611
0.728 0.728 0.389
0.364 0.364 0.451
0.380 0.380 0.925
0.485 0.485 0.773
0.515 0.515 0.227
0.620 0.620 0.075
0.636 0.636 0.549
```

## Properties
calculated total energy: -4.66 eV/atom
density: 6.89 Mg/m³
offset from the most stable computed form: 0.0 meV/atom
formation energy from the elements: -477 kJ/mol of formula units